1.
# CdBi2Ir2 PBE-GGA relaxed
data_CdBi2Ir2
_cell_length_a 7.442
_cell_length_b 7.442
_cell_length_c 3.921
_cell_angle_alpha 90.00
_cell_angle_beta 90.00
_cell_angle_gamma 90.00
_symmetry_space_group_name_H-M 'P 4/m b m'
_symmetry_Int_Tables_number 127
_symmetry_space_group_name_Hall '-P 4 2ab'
loop_
_atom_site_label
_atom_site_fract_x
_atom_site_fract_y
_atom_site_fract_z
Cd1 0.000 0.000 0.000
Bi1 0.161 0.339 0.500
Ir1 0.137 0.637 0.000
# DOS(E_F)	4.0	states/eV/cell
# DFT total energy	-25.017	eV per formula unit
# total magnetic moment	0.0	μB/cell
# volume	109	Å³/f.u.
# formation enthalpy at 0 K	0.276	eV/atom
# distance to the lowest polymorph of the same formula	0	meV per atom

2.
# NaNpUSe4 PBE-GGA relaxed
data_NaNpUSe4
_cell_length_a 8.525
_cell_length_b 8.543
_cell_length_c 12.073
_cell_angle_alpha 90.00
_cell_angle_beta 90.00
_cell_angle_gamma 90.00
_symmetry_space_group_name_H-M 'I m m a'
_symmetry_Int_Tables_number 74
_symmetry_space_group_name_Hall '-I 2b 2'
loop_
_atom_site_label
_atom_site_fract_x
_atom_site_fract_y
_atom_site_fract_z
Na1 0.000 0.250 0.124
Np1 0.000 0.000 0.500
U1 0.250 0.250 0.750
Se1 0.000 0.026 0.740
Se2 0.227 0.250 0.515
# DOS(E_F)	53.2	states/eV/cell
# formation energy from raw total energies	-1.164	eV/atom
# DFT total energy	-47.636	eV per formula unit
# total magnetic moment	24.0	μB/cell
# volume	220	Å³/f.u.

3.
# MgMnCo PBE-GGA relaxed
data_MgMnCo
_cell_length_a 2.937
_cell_length_b 2.937
_cell_length_c 10.218
_cell_angle_alpha 90.00
_cell_angle_beta 90.00
_cell_angle_gamma 90.00
_symmetry_space_group_name_H-M 'P 4 m m'
_symmetry_Int_Tables_number 99
_symmetry_space_group_name_Hall 'P 4 -2'
loop_
_atom_site_label
_atom_site_fract_x
_atom_site_fract_y
_atom_site_fract_z
Mg1 0.000 0.000 0.000
Mg2 0.500 0.500 0.244
Mn1 0.500 0.500 0.529
Mn2 0.500 0.500 0.803
Co1 0.000 0.000 0.410
Co2 0.000 0.000 0.674
# DOS(E_F)	2.8	states/eV/cell
# DFT total energy	-17.669	eV per formula unit
# total magnetic moment	8.2	μB/cell
# volume	44	Å³/f.u.
# formation enthalpy at 0 K	0.067	eV/atom
# distance to the lowest polymorph of the same formula	0	meV per atom

4.
# PtRhPb3 PBE-GGA relaxed
data_PtRhPb3
_cell_length_a 7.108
_cell_length_b 3.664
_cell_length_c 9.819
_cell_angle_alpha 90.00
_cell_angle_beta 109.18
_cell_angle_gamma 90.00
_symmetry_space_group_name_H-M 'P 1 21/m 1'
_symmetry_Int_Tables_number 11
_symmetry_space_group_name_Hall '-P 2yb'
loop_
_atom_site_label
_atom_site_fract_x
_atom_site_fract_y
_atom_site_fract_z
Pt1 0.038 0.250 0.227
Rh1 0.465 0.250 0.270
Pb1 0.232 0.750 0.066
Pb2 0.250 0.250 0.746
Pb3 0.285 0.750 0.432
# DOS(E_F)	3.3	states/eV/cell
# DFT total energy	-24.880	eV per formula unit
# total magnetic moment	0.0	μB/cell
# volume	121	Å³/f.u.
# formation enthalpy at 0 K	-0.072	eV/atom
# distance to the lowest polymorph of the same formula	0	meV per atom

5.
# Tb2Ga3CuIr4 PBE-GGA relaxed
data_Tb2Ga3CuIr4
_cell_length_a 4.136
_cell_length_b 4.136
_cell_length_c 10.551
_cell_angle_alpha 90.00
_cell_angle_beta 90.00
_cell_angle_gamma 90.00
_symmetry_space_group_name_H-M 'P -4 m 2'
_symmetry_Int_Tables_number 115
_symmetry_space_group_name_Hall 'P -4 -2'
loop_
_atom_site_label
_atom_site_fract_x
_atom_site_fract_y
_atom_site_fract_z
Tb1 0.000 0.500 0.246
Ga1 0.000 0.500 0.869
Ga2 0.500 0.500 0.500
Cu1 0.000 0.000 0.500
Ir1 0.000 0.000 0.000
Ir2 0.000 0.500 0.638
Ir3 0.500 0.500 0.000
# DOS(E_F)	4.9	states/eV/cell
# DFT total energy	-63.966	eV per formula unit
# total magnetic moment	0.0	μB/cell
# volume	181	Å³/f.u.
# formation enthalpy at 0 K	-0.608	eV/atom

6.
# Be3AgPd PBE-GGA relaxed
data_Be3AgPd
_cell_length_a 4.215
_cell_length_b 4.215
_cell_length_c 4.215
_cell_angle_alpha 90.00
_cell_angle_beta 90.00
_cell_angle_gamma 90.00
_symmetry_space_group_name_H-M 'P m -3 m'
_symmetry_Int_Tables_number 221
_symmetry_space_group_name_Hall '-P 4 2 3'
loop_
_atom_site_label
_atom_site_fract_x
_atom_site_fract_y
_atom_site_fract_z
Be1 0.000 0.000 0.500
Ag1 0.000 0.000 0.000
Pd1 0.500 0.500 0.500
# DOS(E_F)	1.8	states/eV/cell
# DFT total energy	-15.135	eV per formula unit
# total magnetic moment	0.0	μB/cell
# volume	75	Å³/f.u.
# formation enthalpy at 0 K	0.817	eV/atom
# distance to the lowest polymorph of the same formula	367	meV per atom